# 1
Material: Pu5TlBi6
Method: DFT, PBE
State: relaxed

Cell lengths 3.3758, 18.2873, 9.8807 Å; angles 140.63, 70.14, 111.53 degrees
Closest atoms and distances in Å follow each position.
Fractional coordinates of all 12 atoms:
Tl 0.0000 0.0000 0.0000  2 Tl 3.38, 8 Bi 3.50-3.62
Bi 0.2373 0.0962 0.4544  6 Pu 3.37-3.44, 2 Bi 3.38, 2 Tl 3.62
Bi 0.7598 0.5885 0.9175  2 Bi 3.38, 8 Pu 3.38-3.52
Bi 0.7430 0.2611 0.2782  6 Pu 3.34-3.37, 2 Bi 3.38, 2 Tl 3.50
Bi 0.2570 0.7389 0.7218  6 Pu 3.34-3.37, 2 Bi 3.38, 2 Tl 3.50
Bi 0.2402 0.4115 0.0825  2 Bi 3.38, 8 Pu 3.38-3.52
Bi 0.7627 0.9038 0.5456  6 Pu 3.37-3.44, 2 Bi 3.38, 2 Tl 3.62
Pu 0.4637 0.1575 0.8504  8 Bi 3.37-3.52, 2 Pu 3.38
Pu 0.9952 0.3392 0.6818  8 Bi 3.36-3.45, 2 Pu 3.38
Pu 0.5000 0.5000 0.5000  8 Bi 3.34-3.39, 2 Pu 3.38
Pu 0.0048 0.6608 0.3182  8 Bi 3.36-3.45, 2 Pu 3.38
Pu 0.5363 0.8425 0.1496  8 Bi 3.37-3.52, 2 Pu 3.38

Computed properties:
* raw total energy: -8.40 eV/atom
* crystal system: triclinic
* M_tot: 5.71 μB per formula unit
* space-group type: P-1 (2)
* calculated formation energy: -0.294 eV per atom


# 2
Material: Cs2PaCu2O6
Method: DFT, PBE
State: relaxed

Cell lengths 6.1947, 6.1947, 7.1281 Å; angles 90.00, 90.00, 120.00 degrees
Closest atoms and distances in Å follow each position.
Fractional coordinates of all 11 atoms:
Cs 0.6667 0.3333 0.6787  6 O 3.26, 2 Cu 3.52-3.61
Cs 0.3333 0.6667 0.3213  6 O 3.26, 2 Cu 3.52-3.61
Pa 0.0000 0.0000 0.0000  6 O 2.17
Cu 0.3333 0.6667 0.8281  3 O 1.82
Cu 0.6667 0.3333 0.1719  3 O 1.82
O 0.1637 0.3279 0.8212  1 Cu 1.82
O 0.6721 0.8358 0.8212  1 Cu 1.82
O 0.1642 0.8363 0.8212  1 Cu 1.82
O 0.8363 0.6721 0.1788  1 Cu 1.82
O 0.3279 0.1642 0.1788  1 Cu 1.82
O 0.8358 0.1637 0.1788  1 Cu 1.82

Computed properties:
* raw total energy: -6.19 eV/atom
* crystal system: trigonal
* M_tot: 2.65 μB per formula unit
* space-group type: P-3m1 (164)
* ΔE_f (raw): -1719 meV/atom


Let's list DOS at the Fermi energy in order: 4.4020, 0.6557 states/eV per atom.